Tb3Sc2Tl2 | PBE | relaxed

Cell lengths 3.5923, 5.0312, 21.4915 Å; angles 90.00, 90.00, 90.00 degrees
With the nearest neighbours (Å) after each atom.
Space group Immm (No. 71)
Asymmetric unit:
Tb 0.0000 0.0000 0.0000 (multiplicity 2)  8 Sc 3.43, 2 Tb 3.59, 4 Tl 3.59
Tb 0.0000 0.5000 0.2013 (multiplicity 4)  5 Tl 3.31-3.32, 2 Sc 3.35, 2 Tb 3.59
Sc 0.0000 0.0000 0.4304 (multiplicity 4)  2 Tl 2.99, 1 Sc 2.99
Tl 0.0000 0.5000 0.3552 (multiplicity 4)  2 Sc 2.99, 5 Tb 3.31-3.32

Energy relative to the elements = -1.081 eV/f.u.